w | This record from Alexandria via LeMat-Bulk describes a geometry-optimized SrTi3S structure. The functional is PBE.

Computed properties:
Space-group type: Pm-3m, No. 221
Magnetic moment, Bohr magnetons per cell: 0.000
Fermi-level density of states, states/eV/atom: 0.901

Cell: 4.7316 4.7316 4.7316 Å, 90.00 90.00 90.00°
With the nearest neighbours (Å) after each atom.
Fractional coordinates of all 5 atoms:
Sr 0.5000 0.5000 0.5000  12 Ti 3.35
S 0.0000 0.0000 0.0000  6 Ti 2.37
Ti 0.0000 0.5000 0.0000  2 S 2.37
Ti 0.0000 0.0000 0.5000  2 S 2.37
Ti 0.5000 0.0000 0.0000  2 S 2.37

x | This record from Alexandria via LeMat-Bulk describes a geometry-optimized SrTi3S structure. The functional is PBE.

Computed properties:
Space-group type: Pm-3m, No. 221
Magnetic moment, Bohr magnetons per cell: 2.022
Fermi-level density of states, states/eV/atom: 1.492

Cell: 4.8458 4.8458 4.8458 Å, 90.00 90.00 90.00°
With the nearest neighbours (Å) after each atom.
Fractional coordinates of all 5 atoms:
Sr 0.0000 0.0000 0.0000  6 Ti 2.42
S 0.5000 0.5000 0.5000  12 Ti 3.43
Ti 0.0000 0.5000 0.0000  2 Sr 2.42
Ti 0.0000 0.0000 0.5000  2 Sr 2.42
Ti 0.5000 0.0000 0.0000  2 Sr 2.42

w is favored, and the nearest alternative lies 2.144 eV/atom above it.

w | This record from Alexandria via LeMat-Bulk describes a geometry-optimized SrTm2S4 structure. The functional is PBE.

Computed properties:
Space-group type: Cmcm, No. 63
Magnetic moment, Bohr magnetons per cell: 0.000
Fermi-level density of states, states/eV/atom: 0.000

Cell: 3.9330 6.7447 13.3450 Å, 90.00 90.00 106.95°
With the nearest neighbours (Å) after each atom.
Fractional coordinates of all 14 atoms:
Sr 0.6116 0.2232 0.7500  6 S 2.91-3.09
Sr 0.3884 0.7768 0.2500  6 S 2.91-3.09
Tm 0.1343 0.2686 0.4312  6 S 2.63-2.78
Tm 0.8657 0.7314 0.9312  6 S 2.63-2.78
Tm 0.1343 0.2686 0.0688  6 S 2.63-2.78
Tm 0.8657 0.7314 0.5688  6 S 2.63-2.78
S 0.7690 0.5381 0.1132  3 Tm 2.69-2.73
S 0.7690 0.5381 0.3868  3 Tm 2.69-2.73
S 0.2310 0.4619 0.8868  3 Tm 2.69-2.73
S 0.2310 0.4619 0.6132  3 Tm 2.69-2.73
S 0.9454 0.8908 0.7500  2 Tm 2.63, 2 Sr 2.91
S 0.0546 0.1092 0.2500  2 Tm 2.63, 2 Sr 2.91
S 0.5000 0.0000 0.0000  4 Tm 2.78
S 0.5000 0.0000 0.5000  4 Tm 2.78

x | This record from Alexandria via LeMat-Bulk describes a geometry-optimized SrTm2S4 structure. The functional is PBE.

Computed properties:
Space-group type: Pnma, No. 62
Magnetic moment, Bohr magnetons per cell: 0.000
Fermi-level density of states, states/eV/atom: 0.000

Cell: 3.9495 11.9926 14.2291 Å, 90.00 90.00 90.00°
With the nearest neighbours (Å) after each atom.
Fractional coordinates of all 28 atoms:
Sr 0.2500 0.7592 0.3369  8 S 3.08-3.29
Sr 0.2500 0.2592 0.1631  8 S 3.08-3.29
Sr 0.7500 0.2408 0.6631  8 S 3.08-3.29
Sr 0.7500 0.7408 0.8369  8 S 3.08-3.29
Tm 0.2500 0.4358 0.3895  6 S 2.68-2.74
Tm 0.2500 0.9358 0.1105  6 S 2.68-2.74
Tm 0.7500 0.5642 0.6105  6 S 2.68-2.74
Tm 0.7500 0.0642 0.8895  6 S 2.68-2.74
Tm 0.2500 0.4181 0.9000  6 S 2.66-2.74
Tm 0.2500 0.9181 0.6000  6 S 2.66-2.74
Tm 0.7500 0.5819 0.1000  6 S 2.66-2.74
Tm 0.7500 0.0819 0.4000  6 S 2.66-2.74
S 0.2500 0.2056 0.8297  3 Tm 2.74
S 0.2500 0.7056 0.6703  3 Tm 2.74
S 0.7500 0.7944 0.1703  3 Tm 2.74
S 0.7500 0.2944 0.3297  3 Tm 2.74
S 0.2500 0.1272 0.5277  3 Tm 2.71-2.74
S 0.2500 0.6272 0.9723  3 Tm 2.71-2.74
S 0.7500 0.8728 0.4723  3 Tm 2.71-2.74
S 0.7500 0.3728 0.0277  3 Tm 2.71-2.74
S 0.2500 0.0256 0.2841  3 Tm 2.66-2.69
S 0.2500 0.5256 0.2159  3 Tm 2.66-2.69
S 0.7500 0.9744 0.7159  3 Tm 2.66-2.69
S 0.7500 0.4744 0.7841  3 Tm 2.66-2.69
S 0.2500 0.4132 0.5770  3 Tm 2.68-2.72
S 0.2500 0.9132 0.9230  3 Tm 2.68-2.72
S 0.7500 0.5868 0.4230  3 Tm 2.68-2.72
S 0.7500 0.0868 0.0770  3 Tm 2.68-2.72

x is favored, and the nearest alternative lies 0.016 eV/atom above it.

w | This record from Alexandria via LeMat-Bulk describes a geometry-optimized SrU4S8 structure. The functional is PBE.

Computed properties:
Space-group type: C2/m, No. 12
Magnetic moment, Bohr magnetons per cell: 10.000
Fermi-level density of states, states/eV/atom: 1.117

Cell: 7.9656 7.9656 8.1986 Å, 103.45 104.86 119.78°
With the nearest neighbours (Å) after each atom.
Fractional coordinates of all 13 atoms:
Sr 0.0000 0.5000 0.5000  6 S 3.04-3.07
U 0.2469 0.2469 0.0000  6 S 2.71-2.75
U 0.7531 0.7531 0.0000  6 S 2.71-2.75
U 0.2666 0.7687 0.0353  6 S 2.68-2.76
U 0.7334 0.2313 0.9647  6 S 2.68-2.76
S 0.7045 0.0380 0.2060  3 U 2.72-2.76, 1 Sr 3.04
S 0.1680 0.5015 0.2060  3 U 2.72-2.76, 1 Sr 3.04
S 0.6887 0.5037 0.1924  3 U 2.75, 1 Sr 3.07
S 0.1848 0.0266 0.2113  3 U 2.68-2.71
S 0.8152 0.9734 0.7887  3 U 2.68-2.71
S 0.3113 0.4963 0.8076  3 U 2.75, 1 Sr 3.07
S 0.8320 0.4985 0.7940  3 U 2.72-2.76, 1 Sr 3.04
S 0.2955 0.9620 0.7940  3 U 2.72-2.76, 1 Sr 3.04

x | This record from Alexandria via LeMat-Bulk describes a geometry-optimized SrU4S8 structure. The functional is PBE.

Computed properties:
Space-group type: F-43m, No. 216
Magnetic moment, Bohr magnetons per cell: 10.000
Fermi-level density of states, states/eV/atom: 1.528

Cell: 8.1817 8.1817 8.1817 Å, 60.00 60.00 60.00°
With the nearest neighbours (Å) after each atom.
Fractional coordinates of all 13 atoms:
Sr 0.7500 0.7500 0.7500  4 S 2.82
U 0.8842 0.3719 0.3719  6 S 2.71-2.76
U 0.3719 0.8842 0.3719  6 S 2.71-2.76
U 0.3719 0.3719 0.8842  6 S 2.71-2.76
U 0.3719 0.3719 0.3719  6 S 2.71-2.76
S 0.5851 0.1383 0.1383  3 U 2.71
S 0.1383 0.5851 0.1383  3 U 2.71
S 0.1383 0.1383 0.5851  3 U 2.71
S 0.1383 0.1383 0.1383  3 U 2.71
S 0.1725 0.6092 0.6092  3 U 2.76, 1 Sr 2.82
S 0.6092 0.1725 0.6092  3 U 2.76, 1 Sr 2.82
S 0.6092 0.6092 0.1725  3 U 2.76, 1 Sr 2.82
S 0.6092 0.6092 0.6092  3 U 2.76, 1 Sr 2.82

w is favored, and the nearest alternative lies 0.027 eV/atom above it.

w | This record from Alexandria via LeMat-Bulk describes a geometry-optimized SrVS3 structure. The functional is PBE.

Computed properties:
Space-group type: Pm-3m, No. 221
Magnetic moment, Bohr magnetons per cell: 0.430
Fermi-level density of states, states/eV/atom: 0.594

Cell: 4.6819 4.6819 4.6819 Å, 90.00 90.00 90.00°
With the nearest neighbours (Å) after each atom.
Fractional coordinates of all 5 atoms:
Sr 0.5000 0.5000 0.5000  12 S 3.31
S 0.0000 0.5000 0.0000  2 V 2.34
S 0.0000 0.0000 0.5000  2 V 2.34
S 0.5000 0.0000 0.0000  2 V 2.34
V 0.0000 0.0000 0.0000  6 S 2.34

x | This record from Alexandria via LeMat-Bulk describes a geometry-optimized SrVS3 structure. The functional is PBE.

Computed properties:
Space-group type: Pm-3m, No. 221
Magnetic moment, Bohr magnetons per cell: 0.972
Fermi-level density of states, states/eV/atom: 1.493

Cell: 5.4516 5.4516 5.4516 Å, 90.00 90.00 90.00°
With the nearest neighbours (Å) after each atom.
Fractional coordinates of all 5 atoms:
Sr 0.0000 0.0000 0.0000  6 S 2.73
S 0.0000 0.5000 0.0000  2 Sr 2.73
S 0.0000 0.0000 0.5000  2 Sr 2.73
S 0.5000 0.0000 0.0000  2 Sr 2.73
V 0.5000 0.5000 0.5000  12 S 3.85

w is favored, and the nearest alternative lies 1.752 eV/atom above it.

w | This record from Alexandria via LeMat-Bulk describes a geometry-optimized SrW3S structure. The functional is PBE.

Computed properties:
Space-group type: Pm-3m, No. 221
Magnetic moment, Bohr magnetons per cell: 0.000
Fermi-level density of states, states/eV/atom: 0.517

Cell: 4.6063 4.6063 4.6063 Å, 90.00 90.00 90.00°
With the nearest neighbours (Å) after each atom.
Fractional coordinates of all 5 atoms:
Sr 0.5000 0.5000 0.5000  12 W 3.26
S 0.0000 0.0000 0.0000  6 W 2.30
W 0.0000 0.5000 0.0000  2 S 2.30
W 0.0000 0.0000 0.5000  2 S 2.30
W 0.5000 0.0000 0.0000  2 S 2.30

x | This record from Alexandria via LeMat-Bulk describes a geometry-optimized SrW3S structure. The functional is PBE.

Computed properties:
Space-group type: Pm-3m, No. 221
Magnetic moment, Bohr magnetons per cell: 0.000
Fermi-level density of states, states/eV/atom: 1.387

Cell: 4.8643 4.8643 4.8643 Å, 90.00 90.00 90.00°
With the nearest neighbours (Å) after each atom.
Fractional coordinates of all 5 atoms:
Sr 0.0000 0.0000 0.0000  6 W 2.43
S 0.5000 0.5000 0.5000  12 W 3.44
W 0.0000 0.5000 0.0000  2 Sr 2.43
W 0.0000 0.0000 0.5000  2 Sr 2.43
W 0.5000 0.0000 0.0000  2 Sr 2.43

w is favored, and the nearest alternative lies 2.979 eV/atom above it.